An optimized crystal structure of La2CoGePt6. Source: Alexandria, functional GGA-PBE.

Lattice parameters (Å, degrees): 6.6436 6.6436 8.4121 128.58 128.58 48.75
With the nearest neighbours (Å) after each atom.
Element x y z (fractional)
La  0.2413  0.2413  0.2033  7 Pt 3.12-3.35, 2 Co 3.48
La  0.7587  0.7587  0.7967  7 Pt 3.12-3.35, 2 Co 3.48
Co  0.5000  0.5000  0.0000  6 Pt 2.50-2.51
Ge  0.0000  0.0000  0.5000  6 Pt 2.50-2.51
Pt  0.2522  0.2522  0.6121  1 Co 2.50, 1 Ge 2.50, 4 Pt 2.73-2.79
Pt  0.2517  0.7469  0.2498  1 Co 2.51, 1 Ge 2.51, 4 Pt 2.72-2.79
Pt  0.2531  0.7483  0.7502  1 Co 2.51, 1 Ge 2.51, 4 Pt 2.72-2.79
Pt  0.7469  0.2517  0.2498  1 Co 2.51, 1 Ge 2.51, 4 Pt 2.72-2.79
Pt  0.7483  0.2531  0.7502  1 Co 2.51, 1 Ge 2.51, 4 Pt 2.72-2.79
Pt  0.7478  0.7478  0.3879  1 Co 2.50, 1 Ge 2.50, 4 Pt 2.73-2.79

Properties
- Calculated formation energy: -735 meV per atom
- Calculated volume: 203 Å³ per cell
- Space group: C2/m, No. 12
- N(E_F): 6.88 states/eV per cell